# PBE Ca2BeZnRh2, relaxed
data_Ca2BeZnRh2
_chemical_formula_sum 'Ca4 Be2 Zn2 Rh4'
_symmetry_space_group_name_H-M 'P 1'
_symmetry_Int_Tables_number 1
_symmetry_space_group_name_Hall 'P 1'
_cell_length_a 5.891
_cell_length_b 5.784
_cell_length_c 7.881
_cell_angle_alpha 111.53
_cell_angle_beta 111.95
_cell_angle_gamma 90.00
loop_
_atom_site_label
_atom_site_fract_x
_atom_site_fract_y
_atom_site_fract_z
Be1 0.500 0.750 0.000
Be2 0.500 0.250 0.000
Ca1 0.410 0.168 0.337
Ca2 0.590 0.832 0.663
Ca3 0.927 0.668 0.337
Ca4 0.073 0.332 0.663
Rh1 0.613 0.406 0.812
Rh2 0.199 0.906 0.812
Rh3 0.387 0.594 0.188
Rh4 0.801 0.094 0.188
Zn1 0.000 0.750 0.000
Zn2 0.000 0.250 0.000
# Theoretical density, g/cm3: 5.2
# Symmetry: Ibam (72)
# Final energy, eV per atom: -4.357